This record from Alexandria via LeMat-Bulk describes a relaxed YAlHgC2 crystal. The functional is PBE.

Calculated formation energy ... 2.24 eV per atom

a = 4.3102 Å, b = 4.3102 Å, c = 5.7204 Å
α = 90.00°, β = 90.00°, γ = 90.00°
Element x y z (fractional)
Y 0.0000 0.0000 0.0000
Al 0.5000 0.5000 0.0000
Hg 0.0000 0.0000 0.5000
C 0.0000 0.5000 0.5000
C 0.5000 0.0000 0.5000

This record from Alexandria via LeMat-Bulk describes a relaxed Pu2SeO crystal. The functional is PBE.

E_form (uncorrected) ... -1.906 eV/atom
E above lowest polymorph ... 0.0 meV/atom

a = 6.7327 Å, b = 6.7327 Å, c = 6.7327 Å
α = 32.72°, β = 32.72°, γ = 32.72°
Element x y z (fractional)
Pu 0.2344 0.2344 0.2344
Pu 0.7656 0.7656 0.7656
Se 0.0000 0.0000 0.0000
O 0.5000 0.5000 0.5000

This record from Alexandria via LeMat-Bulk describes a relaxed TeAsBr2O crystal. The functional is PBE.

E_form (uncorrected) ... 0.519 eV/atom
E above lowest polymorph ... 0.0 meV/atom

a = 4.8191 Å, b = 4.8191 Å, c = 4.5748 Å
α = 90.00°, β = 90.00°, γ = 90.00°
Element x y z (fractional)
Te 0.0000 0.0000 0.0000
As 0.5000 0.5000 0.0000
Br 0.0000 0.5000 0.5000
Br 0.5000 0.0000 0.5000
O 0.5000 0.5000 0.5000

This record from Alexandria via LeMat-Bulk describes a relaxed Li3Ca2Pd2 crystal. The functional is PBE.

Calculated formation energy ... -0.42 eV per atom

a = 5.6105 Å, b = 5.6105 Å, c = 7.4264 Å
α = 112.88°, β = 112.88°, γ = 44.35°
Element x y z (fractional)
Li 0.0000 0.0000 0.0000
Li 0.1499 0.1499 0.4321
Li 0.8501 0.8501 0.5679
Ca 0.3593 0.3593 0.2175
Ca 0.6407 0.6407 0.7825
Pd 0.3594 0.3594 0.8094
Pd 0.6406 0.6406 0.1906

This record from Alexandria via LeMat-Bulk describes a relaxed Sm2B3Ru2 crystal. The functional is PBE.

Calculated formation energy ... -0.22 eV per atom

a = 5.8250 Å, b = 5.8250 Å, c = 5.9838 Å
α = 120.78°, β = 120.78°, γ = 37.16°
Element x y z (fractional)
Sm 0.1210 0.1210 0.4667
Sm 0.8790 0.8790 0.5333
B 0.3959 0.3959 0.1528
B 0.5000 0.5000 0.0000
B 0.6041 0.6041 0.8472
Ru 0.1683 0.1683 0.0384
Ru 0.8317 0.8317 0.9616

This record from Alexandria via LeMat-Bulk describes a relaxed AcHo2Pb crystal. The functional is PBE.

E above lowest polymorph ... 303.9 meV/atom
Calculated formation energy ... 0.10 eV per atom

a = 12.4254 Å, b = 12.4254 Å, c = 12.4254 Å
α = 16.88°, β = 16.88°, γ = 16.88°
Element x y z (fractional)
Ac 0.0000 0.0000 0.0000
Ho 0.4143 0.4143 0.4143
Ho 0.5857 0.5857 0.5857
Pb 0.5000 0.5000 0.5000